Here is crystalline TlB2H7 at its relaxed geometry from the Alexandria database. Energies are from GGA-PBE.

Properties
The density of states at the Fermi level is 0.48 states/eV/f.u. As for the volume: 10.53 A^3/atom. As for the total energy: -3.7030 eV per atom. As for the crystal system: orthorhombic.

Lattice parameters (Å, degrees): 2.996 6.843 6.843 131.37 90.00 90.00
Positions (direct):
H: 0.500 0.846 0.533
H: 0.500 0.467 0.154
H: 0.000 0.592 0.408
H: 0.500 0.533 0.846
H: 0.500 0.154 0.467
H: 0.000 0.408 0.592
H: 0.500 0.500 0.500
Tl: 0.000 0.000 0.000
B: 0.500 0.610 0.390
B: 0.500 0.390 0.610